Record 1
A plane-wave DFT calculation with GGA-PBEsol was carried out for K2CuAu2 after structural relaxation.

Output
space group: I4/mmm, No. 139
raw total energy: -2.2769 eV/atom
DFT formation energy: 613 meV/atom

a = 4.352 Å, b = 4.352 Å, c = 7.710 Å
α = 106.39°, β = 106.39°, γ = 90.00°
Fractional coordinates of all 5 atoms:
K  0.250  0.750  0.500
K  0.750  0.250  0.500
Au  0.409  0.409  0.817
Au  0.591  0.591  0.183
Cu  0.000  0.000  0.000

=====

Record 2
A plane-wave DFT calculation with GGA-PBEsol was carried out for KCu2Au after structural relaxation.

Output
space group: Pmmm, No. 47
raw total energy: -3.1613 eV/atom
ΔE to the lowest computed polymorph: 0 meV per atom
DFT formation energy: 270 meV/atom

a = 2.756 Å, b = 3.953 Å, c = 7.001 Å
α = 90.00°, β = 90.00°, γ = 90.00°
Fractional coordinates of all 4 atoms:
Au  0.500  0.500  0.500
Cu  0.000  0.000  0.670
Cu  0.000  0.000  0.330
K  0.500  0.500  0.000

=====

Record 3
A plane-wave DFT calculation with GGA-PBEsol was carried out for KCuAu2 after structural relaxation.

Output
space group: C2/m, No. 12
raw total energy: -3.2111 eV/atom
ΔE to the lowest computed polymorph: 177 meV per atom
DFT formation energy: 118 meV/atom

a = 2.790 Å, b = 5.283 Å, c = 6.046 Å
α = 115.97°, β = 103.34°, γ = 90.00°
Fractional coordinates of all 4 atoms:
Au  0.295  0.295  0.591
Au  0.705  0.705  0.409
Cu  0.000  0.500  0.000
K  0.500  0.000  0.000

=====

Record 4
A plane-wave DFT calculation with GGA-PBEsol was carried out for KCu2Au after structural relaxation.

Output
space group: Pmmm, No. 47
raw total energy: -2.9140 eV/atom
ΔE to the lowest computed polymorph: 247 meV per atom
DFT formation energy: 517 meV/atom

a = 2.728 Å, b = 4.977 Å, c = 5.228 Å
α = 90.00°, β = 90.00°, γ = 90.00°
Fractional coordinates of all 4 atoms:
Au  0.000  0.500  0.500
Cu  0.000  0.000  0.000
Cu  0.500  0.000  0.500
K  0.500  0.500  0.000